1.
Material: TbPaMo
Method: DFT, GGA-PBE
State: optimized geometry

Geometry as POSCAR:
```
TbPaMo
1.0
-1.7447 1.7447 5.6789
1.7447 -1.7447 5.6789
1.7447 1.7447 -5.6789
Tb Pa Mo
1 1 1
direct
0.0000 0.0000 0.0000
0.3034 0.3034 0.0000
0.6847 0.6847 0.0000
```

Output
uncorrected energy = -8.21 eV per atom
Fermi-level density of states = 1.2560 states/eV per atom
energy above the most stable polymorph in this dataset = 0.000 eV/atom
formation enthalpy at 0 K = 0.11 eV per atom
size of the total moment = 0.00 μB per formula unit

---

2.
Material: Ce2TlP
Method: DFT, GGA-PBE
State: optimized geometry

Geometry as POSCAR:
```
Ce2TlP
1.0
1.9715 1.1383 8.4267
-1.9715 1.1383 8.4267
0.0000 -2.2765 8.4267
Ce Tl P
2 1 1
direct
0.0000 0.0000 0.0000
0.2019 0.2019 0.2019
0.7678 0.7678 0.7678
0.6006 0.6006 0.6006
```

Output
uncorrected energy = -5.68 eV per atom
Fermi-level density of states = 2.7059 states/eV per atom
energy above the most stable polymorph in this dataset = 0.023 eV/atom
formation enthalpy at 0 K = -0.77 eV per atom
size of the total moment = 1.62 μB per formula unit

---

3.
Material: LaSm2S4
Method: DFT, GGA-PBE
State: optimized geometry

Geometry as POSCAR:
```
LaSm2S4
1.0
1.9873 -6.6511 0.0000
1.9873 6.6511 0.0000
0.0000 0.0000 13.4270
La Sm S
2 4 8
direct
0.1226 0.8774 0.7500
0.8774 0.1226 0.2500
0.3701 0.6299 0.5675
0.3701 0.6299 0.9325
0.6299 0.3701 0.0675
0.6299 0.3701 0.4325
0.0000 0.0000 0.0000
0.0000 0.0000 0.5000
0.2736 0.7264 0.1213
0.2736 0.7264 0.3787
0.4661 0.5339 0.7500
0.5339 0.4661 0.2500
0.7264 0.2736 0.6213
0.7264 0.2736 0.8787
```

Output
formation energy (no corrections) = -2.11 eV per atom
uncorrected energy = -6.52 eV per atom
Fermi-level density of states = 0.2813 states/eV per atom
size of the total moment = 0.00 μB per formula unit